1.
Mg2ZnSb | PBE | relaxed

abc: 5.031 5.031 5.031
angles: 60.00 60.00 60.00
Fractional coordinates of all 4 atoms:
Mg 0.000 0.000 0.000
Mg 0.250 0.250 0.250
Zn 0.750 0.750 0.750
Sb 0.500 0.500 0.500

Output
E above lowest polymorph in eV/atom: 0.1902
Space-group type: F-43m (216)
Formation energy without anion corrections in eV/atom: 0.05

---

2.
AcLaEuTh | PBE | relaxed

abc: 6.014 6.014 6.014
angles: 60.00 60.00 60.00
Last column: magnetic moment on the atom in μB.
Fractional coordinates of all 4 atoms:
La 0.250 0.250 0.250  -0.03
Eu 0.000 0.000 0.000  6.89
Ac 0.750 0.750 0.750  -0.02
Th 0.500 0.500 0.500  -0.24

Output
Space-group type: F-43m (216)
Calculated formation energy in eV/atom: 0.24

---

3.
NaAc2PrSe4 | PBE | relaxed

abc: 4.391 7.469 7.680
angles: 70.35 90.00 90.00
Fractional coordinates of all 8 atoms:
Pr 0.000 0.500 0.500
Se 0.500 0.262 0.748
Se 0.500 0.738 0.252
Se 0.000 0.740 0.753
Se 0.000 0.260 0.247
Na 0.500 0.500 0.000
Ac 0.000 0.000 0.000
Ac 0.500 0.000 0.500

Output
Space-group type: P2/m (10)
Formation energy without anion corrections in eV/atom: -1.78